(1)
DFT (PBE) results for crystalline CrPt4 at its relaxed geometry.

a b c (Å): 4.770 5.372 7.224
angles (deg): 110.03 90.08 116.23
Element x y z (fractional)
Cr (0.000, 0.000, 0.000)
Cr (0.212, 0.424, 0.424)
Pt (0.148, 0.591, 0.119)
Pt (0.353, 0.010, 0.511)
Pt (0.408, 0.813, 0.817)
Pt (0.555, 0.415, 0.914)
Pt (0.587, 0.212, 0.212)
Pt (0.769, 0.834, 0.306)
Pt (0.807, 0.612, 0.607)
Pt (0.954, 0.213, 0.712)

* energy relative to the lowest polymorph listed for this composition: 42 meV per atom
* E_form: -0.12 eV/atom

=====

(2)
DFT (PBE) results for crystalline CrPt at its relaxed geometry.

a b c (Å): 2.668 2.668 7.739
angles (deg): 90.00 90.00 90.00
Element x y z (fractional)
Cr (0.250, 0.250, 0.117)
Cr (0.750, 0.750, 0.883)
Pt (0.250, 0.250, 0.645)
Pt (0.750, 0.750, 0.355)

* E_form: -0.08 eV/atom

=====

| no. | volume (Å³/cell) | N(E_F) (states/eV/f.u.) |
| --- | --- | --- |
| 1 | 153 | 7.3 |
| 2 | 55 | 2.3 |